Computed, not measured: a PBEsol-optimized structure of LaFeTe2 at the meta-GGA SCAN level of DFT.

Computed properties:
VASP energy in eV/atom: -34.6248
Formation energy without anion corrections in kJ/mol of formula units: -266.5

abc: 4.1962 4.1962 6.3217
angles: 90.00 90.00 90.00
With the nearest neighbours (Å) after each atom.
Space group P4mm (No. 99)
Symmetry-distinct sites (fractional):
La  0.0000  0.0000  0.0000 (multiplicity 1)  6 Te 2.99-3.33
Fe  0.5000  0.5000  0.6680 (multiplicity 1)  5 Te 2.80-3.10
Te  0.0000  0.0000  0.5266 (multiplicity 1)  2 La 2.99-3.33, 4 Fe 3.10
Te  0.5000  0.5000  0.1109 (multiplicity 1)  1 Fe 2.80, 4 La 3.05

=====

Computed, not measured: a PBEsol-optimized structure of BN at the meta-GGA SCAN level of DFT.

Computed properties:
Excess energy over the best structure of this formula in the dataset in eV per formula unit: 0.003
VASP energy in eV/atom: -9.8143
Formation energy without anion corrections in kJ/mol of formula units: -280.6

abc: 2.5066 6.9968 4.3375
angles: 90.00 90.00 90.00
With the nearest neighbours (Å) after each atom.
Space group Fmm2 (No. 42)
Symmetry-distinct sites (fractional):
B  0.0000  0.0000  0.0000 (multiplicity 4)  3 N 1.45
N  0.0000  0.0000  0.6665 (multiplicity 4)  3 B 1.45

=====

Computed, not measured: a PBEsol-optimized structure of SrTaCuPd2 at the meta-GGA SCAN level of DFT.

Computed properties:
VASP energy in eV/atom: -32.0904
Energy of formation in eV per atom: 1.831

abc: 4.8762 4.8762 4.7350
angles: 90.00 90.00 90.00
With the nearest neighbours (Å) after each atom.
Space group P4/mmm (No. 123)
Symmetry-distinct sites (fractional):
Sr  0.0000  0.0000  0.0000 (multiplicity 1)  2 Cu 2.37, 4 Pd 2.44
Ta  0.5000  0.5000  0.5000 (multiplicity 1)  8 Pd 3.40, 4 Cu 3.45
Cu  0.0000  0.0000  0.5000 (multiplicity 1)  2 Sr 2.37
Pd  0.0000  0.5000  0.0000 (multiplicity 2)  2 Sr 2.44

=====

Computed, not measured: a PBEsol-optimized structure of AsPbSe2 at the meta-GGA SCAN level of DFT.

Computed properties:
Excess energy over the best structure of this formula in the dataset in eV per formula unit: 0.000
VASP energy in eV/atom: -34.0313
Formation energy without anion corrections in kJ/mol of formula units: 0.3

abc: 3.5316 3.5316 8.1020
angles: 90.00 90.00 90.00
With the nearest neighbours (Å) after each atom.
Space group P4mm (No. 99)
Symmetry-distinct sites (fractional):
As  0.0000  0.0000  0.0000 (multiplicity 1)  4 Se 2.67
Pb  0.5000  0.5000  0.3459 (multiplicity 1)  4 Se 2.90
Se  0.0000  0.0000  0.5273 (multiplicity 1)  4 Pb 2.90
Se  0.5000  0.5000  0.8848 (multiplicity 1)  4 As 2.67

=====

Computed, not measured: a PBEsol-optimized structure of Cd2InAg at the meta-GGA SCAN level of DFT.

Computed properties:
VASP energy in eV/atom: -31.3625
Energy of formation in eV per atom: 0.033

abc: 3.1082 3.1082 29.4737
angles: 90.00 90.00 120.00
With the nearest neighbours (Å) after each atom.
Space group R-3m (No. 166, hexagonal axes)
Symmetry-distinct sites (fractional):
Cd  0.0000  0.0000  0.2431 (multiplicity 6)  3 Ag 2.88, 6 Cd 3.11, 3 In 3.21
In  0.0000  0.0000  0.0000 (multiplicity 3)  6 In 3.11, 6 Cd 3.21
Ag  0.0000  0.0000  0.5000 (multiplicity 3)  6 Cd 2.88, 6 Ag 3.11

=====

Computed, not measured: a PBEsol-optimized structure of LiCd at the meta-GGA SCAN level of DFT.

Computed properties:
VASP energy in eV/atom: -16.6100
Energy of formation in eV per atom: -0.208

abc: 4.5869 4.5869 8.2227
angles: 90.00 90.00 120.00
With the nearest neighbours (Å) after each atom.
Space group P6_3/mmc (No. 194)
Symmetry-distinct sites (fractional):
Li  0.0000  0.0000  0.2500 (multiplicity 2)  3 Li 2.65
Li  0.3333  0.6667  0.2500 (multiplicity 2)  3 Li 2.65, 2 Cd 2.69
Cd  0.3333  0.6667  0.5773 (multiplicity 4)  7 Li 2.69-3.00, 4 Cd 2.84-2.94

=====

Computed, not measured: a PBEsol-optimized structure of NbCdO2F at the meta-GGA SCAN level of DFT.

Computed properties:
VASP energy in eV/atom: -16.4436
Formation energy without anion corrections in kJ/mol of formula units: -257.7

abc: 4.1687 4.1687 4.1014
angles: 90.00 90.00 90.00
With the nearest neighbours (Å) after each atom.
Space group P4/mmm (No. 123)
Symmetry-distinct sites (fractional):
Nb  0.0000  0.0000  0.0000 (multiplicity 1)  8 O 2.92, 4 F 2.95
Cd  0.5000  0.5000  0.5000 (multiplicity 1)  2 F 2.05, 4 O 2.08
O  0.0000  0.5000  0.5000 (multiplicity 2)  2 Cd 2.08
F  0.5000  0.5000  0.0000 (multiplicity 1)  2 Cd 2.05

=====

Computed, not measured: a PBEsol-optimized structure of InSn2Bi at the meta-GGA SCAN level of DFT.

Computed properties:
Excess energy over the best structure of this formula in the dataset in eV per formula unit: 0.000
VASP energy in eV/atom: -45.9001
Energy of formation in eV per atom: 0.052

abc: 6.6376 6.6376 13.3203
angles: 90.00 90.00 90.00
With the nearest neighbours (Å) after each atom.
Space group I-42d (No. 122)
Symmetry-distinct sites (fractional):
In  0.0000  0.0000  0.0000 (multiplicity 4)  4 Sn 2.81
Sn  0.2325  0.2500  0.1250 (multiplicity 8)  2 In 2.81, 2 Bi 2.95
Bi  0.0000  0.0000  0.5000 (multiplicity 4)  4 Sn 2.95

=====

Computed, not measured: a PBEsol-optimized structure of Mn2FeSb at the meta-GGA SCAN level of DFT.

Computed properties:
VASP energy in eV/atom: -22.9599
Formation energy without anion corrections in kJ/mol of formula units: 5.9

abc: 5.9242 5.9242 5.9242
angles: 90.00 90.00 90.00
With the nearest neighbours (Å) after each atom.
Space group Fm-3m (No. 225)
Symmetry-distinct sites (fractional):
Mn  0.2500  0.2500  0.2500 (multiplicity 8)  4 Fe 2.57, 4 Sb 2.57
Fe  0.0000  0.0000  0.0000 (multiplicity 4)  8 Mn 2.57
Sb  0.0000  0.0000  0.5000 (multiplicity 4)  8 Mn 2.57

=====

Computed, not measured: a PBEsol-optimized structure of LiCo2Hg at the meta-GGA SCAN level of DFT.

Computed properties:
VASP energy in eV/atom: -25.8883
Energy of formation in eV per atom: 0.403

abc: 3.1427 3.1427 5.3348
angles: 90.00 90.00 90.00
With the nearest neighbours (Å) after each atom.
Space group P4/mmm (No. 123)
Symmetry-distinct sites (fractional):
Li  0.0000  0.0000  0.0000 (multiplicity 1)  8 Co 2.49, 2 Hg 2.67
Co  0.5000  0.5000  0.2105 (multiplicity 2)  1 Co 2.25, 4 Li 2.49
Hg  0.0000  0.0000  0.5000 (multiplicity 1)  2 Li 2.67, 8 Co 2.71

=====

Computed, not measured: a PBEsol-optimized structure of B84O11 at the meta-GGA SCAN level of DFT.

Computed properties:
VASP energy in eV/atom: -7.9158
Formation energy without anion corrections in kJ/mol of formula units: -5729.3

abc: 7.3622 8.7625 11.7486
angles: 95.85 91.20 112.26
With the nearest neighbours (Å) after each atom.
Space group P1 (No. 1)
Symmetry-distinct sites (fractional):
B  0.0000  0.0000  0.0000 (multiplicity 1)  5 B 1.78-1.84
B  0.0018  0.7461  0.3393 (multiplicity 1)  1 O 1.48
B  0.0067  0.5421  0.3406 (multiplicity 1)  6 B 1.68-1.80
B  0.0093  0.2133  0.0063 (multiplicity 1)  6 B 1.70-1.84
B  0.0521  0.9680  0.1474 (multiplicity 1)  6 B 1.70-1.84
B  0.0614  0.3105  0.1521 (multiplicity 1)  6 B 1.69-1.83
B  0.0622  0.3819  0.5457 (multiplicity 1)  1 O 1.47
B  0.0805  0.8875  0.5441 (multiplicity 1)  1 O 1.46
B  0.0900  0.1583  0.2354 (multiplicity 1)  1 O 1.47
B  0.1005  0.6615  0.2281 (multiplicity 1)  1 O 1.48
B  0.1128  0.0748  0.6274 (multiplicity 1)  6 B 1.69-1.82
B  0.1181  0.7417  0.6292 (multiplicity 1)  6 B 1.70-1.83
B  0.1549  0.0384  0.7686 (multiplicity 1)  1 O 1.46
B  0.1573  0.4987  0.4303 (multiplicity 1)  6 B 1.68-1.84
B  0.1606  0.2955  0.4347 (multiplicity 1)  1 O 1.47
B  0.1641  0.8373  0.7730 (multiplicity 1)  6 B 1.68-1.86
B  0.2038  0.2613  0.5768 (multiplicity 1)  6 B 1.69-1.80
B  0.2048  0.5960  0.5754 (multiplicity 1)  6 B 1.70-1.80
B  0.2058  0.6659  0.9775 (multiplicity 1)  1 O 1.49
B  0.2150  0.1685  0.9700 (multiplicity 1)  1 O 1.47
B  0.2353  0.4476  0.6616 (multiplicity 1)  1 O 1.47
B  0.2435  0.0160  0.0532 (multiplicity 1)  6 B 1.69-1.84
B  0.2527  0.3586  0.0579 (multiplicity 1)  6 B 1.70-1.83
B  0.2704  0.9634  0.6561 (multiplicity 1)  5 B 1.78-1.85
B  0.2946  0.1123  0.1989 (multiplicity 1)  6 B 1.70-1.84
B  0.3034  0.7866  0.8652 (multiplicity 1)  6 B 1.68-1.80
B  0.3046  0.3255  0.2043 (multiplicity 1)  5 B 1.78-1.84
B  0.3059  0.5821  0.8662 (multiplicity 1)  1 O 1.48
B  0.3432  0.9508  0.4104 (multiplicity 1)  1 O 1.47
B  0.3483  0.8809  0.0077 (multiplicity 1)  6 B 1.69-1.80
B  0.3513  0.5458  0.0068 (multiplicity 1)  6 B 1.70-1.81
B  0.3702  0.4511  0.3852 (multiplicity 1)  5 B 1.78-1.84
B  0.3790  0.7317  0.0933 (multiplicity 1)  1 O 1.49
B  0.3884  0.2322  0.0865 (multiplicity 1)  1 O 1.47
B  0.3942  0.3077  0.4804 (multiplicity 1)  6 B 1.67-1.82
B  0.3941  0.6398  0.4784 (multiplicity 1)  6 B 1.67-1.83
B  0.4356  0.0665  0.2952 (multiplicity 1)  6 B 1.70-1.79
B  0.4394  0.6075  0.6214 (multiplicity 1)  1 O 1.48
B  0.4405  0.8643  0.2992 (multiplicity 1)  1 O 1.48
B  0.4417  0.4039  0.6238 (multiplicity 1)  6 B 1.68-1.79
B  0.4843  0.1636  0.4392 (multiplicity 1)  6 B 1.67-1.82
B  0.4856  0.8328  0.4428 (multiplicity 1)  6 B 1.67-1.83
B  0.4880  0.2373  0.8307 (multiplicity 1)  1 O 1.46
B  0.5105  0.0217  0.5351 (multiplicity 1)  5 B 1.78-1.84
B  0.5121  0.7446  0.8270 (multiplicity 1)  1 O 1.47
B  0.5359  0.5208  0.5106 (multiplicity 1)  1 O 1.47
B  0.5420  0.9304  0.9122 (multiplicity 1)  6 B 1.68-1.82
B  0.5460  0.5970  0.9114 (multiplicity 1)  6 B 1.68-1.84
B  0.5715  0.1433  0.7123 (multiplicity 1)  5 B 1.78-1.84
B  0.5814  0.3557  0.7176 (multiplicity 1)  6 B 1.68-1.83
B  0.5843  0.8937  0.0528 (multiplicity 1)  1 O 1.46
B  0.5906  0.6909  0.0542 (multiplicity 1)  6 B 1.68-1.83
B  0.6070  0.5081  0.2672 (multiplicity 1)  5 B 1.79-1.84
B  0.6269  0.1139  0.8592 (multiplicity 1)  6 B 1.68-1.83
B  0.6315  0.4513  0.8618 (multiplicity 1)  6 B 1.68-1.81
B  0.6445  0.0240  0.2584 (multiplicity 1)  1 O 1.47
B  0.6600  0.3009  0.9473 (multiplicity 1)  1 O 1.48
B  0.6740  0.2094  0.3430 (multiplicity 1)  6 B 1.68-1.80
B  0.6746  0.8762  0.3464 (multiplicity 1)  6 B 1.69-1.81
B  0.7000  0.8195  0.9408 (multiplicity 1)  5 B 1.78-1.84
B  0.7147  0.6360  0.1529 (multiplicity 1)  6 B 1.68-1.84
B  0.7187  0.1760  0.4841 (multiplicity 1)  1 O 1.46
B  0.7209  0.4328  0.1538 (multiplicity 1)  1 O 1.47
B  0.7229  0.9736  0.4909 (multiplicity 1)  6 B 1.69-1.84
B  0.7610  0.7305  0.2957 (multiplicity 1)  6 B 1.69-1.84
B  0.7656  0.3967  0.2947 (multiplicity 1)  6 B 1.68-1.83
B  0.7808  0.8118  0.6956 (multiplicity 1)  1 O 1.47
B  0.7878  0.3118  0.6813 (multiplicity 1)  1 O 1.46
B  0.7991  0.5839  0.3795 (multiplicity 1)  1 O 1.47
B  0.8173  0.0897  0.3740 (multiplicity 1)  1 O 1.47
B  0.8166  0.1616  0.7652 (multiplicity 1)  6 B 1.68-1.84
B  0.8226  0.4992  0.7676 (multiplicity 1)  6 B 1.70-1.80
B  0.8650  0.4618  0.9083 (multiplicity 1)  1 O 1.48
B  0.8670  0.2575  0.9096 (multiplicity 1)  6 B 1.70-1.80
B  0.8725  0.9294  0.5818 (multiplicity 1)  6 B 1.69-1.80
B  0.8781  0.7261  0.5848 (multiplicity 1)  1 O 1.48
B  0.9166  0.0940  0.1190 (multiplicity 1)  1 O 1.47
B  0.9200  0.0254  0.7245 (multiplicity 1)  6 B 1.68-1.82
B  0.9243  0.6926  0.7273 (multiplicity 1)  6 B 1.70-1.83
B  0.9265  0.5952  0.1132 (multiplicity 1)  1 O 1.49
B  0.9478  0.8820  0.8187 (multiplicity 1)  5 B 1.78-1.86
B  0.9543  0.7814  0.1990 (multiplicity 1)  6 B 1.70-1.81
B  0.9578  0.4461  0.1985 (multiplicity 1)  6 B 1.69-1.80
B  0.9628  0.3771  0.7972 (multiplicity 1)  1 O 1.48
O  0.0287  0.1569  0.3538 (multiplicity 1)  3 B 1.47
O  0.1309  0.8820  0.4244 (multiplicity 1)  3 B 1.46-1.48
O  0.1763  0.4467  0.7805 (multiplicity 1)  3 B 1.47-1.48
O  0.2790  0.1741  0.8525 (multiplicity 1)  3 B 1.46-1.47
O  0.3147  0.7284  0.2124 (multiplicity 1)  3 B 1.48-1.49
O  0.5675  0.7437  0.7074 (multiplicity 1)  3 B 1.47-1.48
O  0.5989  0.2982  0.0663 (multiplicity 1)  3 B 1.47-1.48
O  0.7064  0.0273  0.1400 (multiplicity 1)  3 B 1.46-1.47
O  0.7490  0.5891  0.4995 (multiplicity 1)  3 B 1.47-1.48
O  0.8503  0.3150  0.5639 (multiplicity 1)  3 B 1.46-1.47
O  0.9915  0.5975  0.9944 (multiplicity 1)  3 B 1.48-1.49

=====

Look up the VASP energy of the third one.
-32.0904 eV/atom